Record 1
The following is a DFT calculation (PBE-GGA) of an optimized crystal structure of Zn5CdCu4.

Results
Raw total energy, eV per atom: -2.42

a = 3.0185 Å, b = 3.0185 Å, c = 15.4780 Å
α = 90.00°, β = 90.00°, γ = 90.00°
Fractional coordinates of all 10 atoms:
1 Zn 0.5000 0.5000 0.1296
2 Zn 0.5000 0.5000 0.3149
3 Zn 0.5000 0.5000 0.5000
4 Zn 0.5000 0.5000 0.6851
5 Zn 0.5000 0.5000 0.8704
6 Cd 0.0000 0.0000 0.0000
7 Cu 0.0000 0.0000 0.2221
8 Cu 0.0000 0.0000 0.4070
9 Cu 0.0000 0.0000 0.5930
10 Cu 0.0000 0.0000 0.7779

---

Record 2
The following is a DFT calculation (PBE-GGA) of an optimized crystal structure of CrRh4W.

Results
Raw total energy, eV per atom: -8.78
Offset from the most stable computed form, eV per atom: 0.000

a = 3.7843 Å, b = 4.7462 Å, c = 6.0918 Å
α = 105.97°, β = 71.90°, γ = 66.51°
Fractional coordinates of all 6 atoms:
1 Cr 0.5000 0.5000 0.5000
2 Rh 0.8355 0.5014 0.8276
3 Rh 0.3290 0.0081 0.3339
4 Rh 0.1645 0.4986 0.1724
5 Rh 0.6710 0.9919 0.6661
6 W 0.0000 0.0000 0.0000

---

Record 3
The following is a DFT calculation (PBE-GGA) of an optimized crystal structure of CaBiPd.

Results
Raw total energy, eV per atom: -4.30

a = 4.3968 Å, b = 6.9571 Å, c = 10.0975 Å
α = 90.00°, β = 90.00°, γ = 90.00°
Fractional coordinates of all 12 atoms:
1 Bi 0.2499 0.7500 0.7179
2 Bi 0.2499 0.2500 0.7179
3 Bi 0.7501 0.2500 0.2179
4 Bi 0.7501 0.7500 0.2179
5 Pd 0.2501 0.5000 0.3026
6 Pd 0.7499 0.5000 0.8026
7 Pd 0.7499 0.0000 0.6332
8 Pd 0.2501 0.0000 0.1332
9 Ca 0.2500 0.5000 0.0113
10 Ca 0.7500 0.5000 0.5113
11 Ca 0.2500 0.0000 0.4245
12 Ca 0.7500 0.0000 0.9245

---

Record 4
The following is a DFT calculation (PBE-GGA) of an optimized crystal structure of Hf8Ge2As.

Results
Raw total energy, eV per atom: -8.95

a = 3.7599 Å, b = 7.5781 Å, c = 8.2709 Å
α = 94.01°, β = 103.14°, γ = 90.00°
Fractional coordinates of all 11 atoms:
1 Hf 0.4073 0.4762 0.8146
2 Hf 0.6665 0.0207 0.3331
3 Hf 0.7913 0.6477 0.5825
4 Hf 0.0115 0.2438 0.0230
5 Hf 0.2087 0.3523 0.4175
6 Hf 0.3335 0.9793 0.6669
7 Hf 0.5927 0.5238 0.1854
8 Hf 0.9885 0.7562 0.9770
9 Ge 0.8240 0.2491 0.6481
10 Ge 0.1760 0.7509 0.3519
11 As 0.5000 0.0000 0.0000

---

Record 5
The following is a DFT calculation (PBE-GGA) of an optimized crystal structure of Cd12In2Ag.

Results
Raw total energy, eV per atom: -1.23

a = 5.9907 Å, b = 5.9907 Å, c = 20.7523 Å
α = 90.00°, β = 90.00°, γ = 90.00°
Fractional coordinates of all 30 atoms:
1 Cd 0.5000 0.5000 0.8004
2 Cd 0.0000 0.0000 0.8004
3 Cd 0.7513 0.7487 0.9055
4 Cd 0.2513 0.7513 0.9055
5 Cd 0.0000 0.0000 0.3356
6 Cd 0.2487 0.7487 0.0945
7 Cd 0.8252 0.3252 0.5653
8 Cd 0.5000 0.5000 0.3356
9 Cd 0.2487 0.2513 0.9055
10 Cd 0.7487 0.7513 0.0945
11 Cd 0.3252 0.1748 0.5653
12 Cd 0.6748 0.1748 0.4347
13 Cd 0.0000 0.0000 0.6644
14 Cd 0.1748 0.3252 0.4347
15 Cd 0.2513 0.2487 0.0945
16 Cd 0.8252 0.6748 0.4347
17 Cd 0.6748 0.8252 0.5653
18 Cd 0.0000 0.0000 0.1996
19 Cd 0.1748 0.6748 0.5653
20 Cd 0.5000 0.5000 0.6644
21 Cd 0.7487 0.2487 0.9055
22 Cd 0.5000 0.5000 0.1996
23 Cd 0.3252 0.8252 0.4347
24 Cd 0.7513 0.2513 0.0945
25 In 0.5000 0.0000 0.2644
26 In 0.0000 0.5000 0.2644
27 In 0.0000 0.5000 0.7356
28 In 0.5000 0.0000 0.7356
29 Ag 0.5000 0.0000 0.0000
30 Ag 0.0000 0.5000 0.0000

---

Record 6
The following is a DFT calculation (PBE-GGA) of an optimized crystal structure of IrCO3.

Results
Raw total energy, eV per atom: -5.23
Energy relative to the elements, uncorrected, eV per atom: 1.3664

a = 3.4751 Å, b = 3.4751 Å, c = 3.4751 Å
α = 90.00°, β = 90.00°, γ = 90.00°
Fractional coordinates of all 5 atoms:
1 Ir 0.5000 0.5000 0.5000
2 C 0.0000 0.0000 0.0000
3 O 0.0000 0.5000 0.0000
4 O 0.0000 0.0000 0.5000
5 O 0.5000 0.0000 0.0000